(1)
# CrFe2W

A relaxed structure of CrFe2W (PBE, Alexandria via LeMat-Bulk).

a b c (Å): 3.025 4.058 8.244
angles (deg): 90.00 90.00 90.00
Space group Immm (No. 71)
Unique sites:
1 Cr 0.000 0.000 0.000 (multiplicity 2)
2 Fe 0.000 0.500 0.254 (multiplicity 4)
3 W 0.000 0.000 0.500 (multiplicity 2)

Calculated values
The offset from the most stable computed form is 9 meV per atom. For the formation enthalpy at 0 K, the calculation gives 114 meV/atom.

***

(2)
# Cr2FeW

A relaxed structure of Cr2FeW (PBE, Alexandria via LeMat-Bulk).

a b c (Å): 4.129 4.129 3.008
angles (deg): 90.00 90.00 90.00
Space group P4/mmm (No. 123)
Unique sites:
1 Cr 0.000 0.500 0.000 (multiplicity 2)
2 Fe 0.000 0.000 0.500 (multiplicity 1)
3 W 0.500 0.500 0.500 (multiplicity 1)

Calculated values
The offset from the most stable computed form is 22 meV per atom. For the formation enthalpy at 0 K, the calculation gives 144 meV/atom.

***

(3)
# CrFe2W

A relaxed structure of CrFe2W (PBE, Alexandria via LeMat-Bulk).

a b c (Å): 2.622 3.596 5.209
angles (deg): 90.00 90.00 90.00
Space group Pmmm (No. 47)
Unique sites:
1 Cr 0.000 0.000 0.000 (multiplicity 1)
2 Fe 0.500 0.500 0.233 (multiplicity 2)
3 W 0.000 0.000 0.500 (multiplicity 1)

Calculated values
The offset from the most stable computed form is 57 meV per atom. For the formation enthalpy at 0 K, the calculation gives 163 meV/atom.